*1*
Li3SnS | PBE | relaxed

extended XYZ file:
```
5
Lattice="5.148 0.000 0.000 0.000 5.148 0.000 0.000 0.000 5.148" Properties=species:S:1:pos:R:3 pbc="T T T"
Sn 0.000 0.000 0.000
Li 0.000 2.574 0.000
Li 2.574 0.000 0.000
Li 0.000 0.000 2.574
S 2.574 2.574 2.574
```

## Properties
The calculation puts the density of states at the Fermi level at 3.0 states/eV per cell. For the spin magnetization, the calculation gives 0.5533 μB per atom.

*2*
Li3SnS | PBE | relaxed

extended XYZ file:
```
5
Lattice="-0.845 2.746 -3.631 -4.497 0.067 1.097 0.703 3.727 2.655" Properties=species:S:1:pos:R:3 pbc="T T T"
Sn -2.320 3.270 0.061
Li -0.423 1.373 -1.815
Li -2.249 0.033 0.549
Li 0.352 1.864 1.327
S 0.000 0.000 0.000
```

## Properties
The calculation puts the density of states at the Fermi level at 2.3 states/eV per cell. For the spin magnetization, the calculation gives 0.0000 μB per atom.

What are the relative energies? In eV/atom: *1* 0.843; *2* 0.000.

*1*
Li2Sn2S3 | PBE | relaxed

extended XYZ file:
```
14
Lattice="-2.531 -3.904 5.299 5.227 -5.757 -1.745 2.543 0.530 5.867" Properties=species:S:1:pos:R:3 pbc="T T T"
Sn 3.428 -6.795 8.671
Sn -0.396 -3.249 3.714
Sn 1.812 -2.335 0.750
Sn 5.636 -5.882 5.707
S 1.826 -6.448 5.101
S 3.413 -2.682 4.319
S 0.524 -2.845 7.511
S 4.715 -6.285 1.910
S 1.348 -4.830 1.777
S 0.000 0.000 0.000
Li 3.131 -5.010 3.393
Li 3.240 -8.475 5.584
Li 2.000 -0.656 3.837
Li 2.108 -4.121 6.027
```

## Properties
The calculation puts the density of states at the Fermi level at 0.0 states/eV per cell. For the spin magnetization, the calculation gives 0.0000 μB per atom.

*2*
Li2Sn2S3 | PBE | relaxed

extended XYZ file:
```
7
Lattice="3.941 -0.002 1.189 0.370 6.311 -1.227 0.110 -2.004 6.761" Properties=species:S:1:pos:R:3 pbc="T T T"
S 3.363 3.766 3.101
S 1.058 0.539 3.621
S 0.000 0.000 0.000
Li 3.366 1.304 3.101
Li 1.055 3.001 3.621
Sn 1.922 4.879 0.744
Sn 2.499 -0.574 5.978
```

## Properties
The calculation puts the density of states at the Fermi level at 0.0 states/eV per cell. For the spin magnetization, the calculation gives 0.0000 μB per atom.

What are the relative energies? In eV/atom: *1* 0.062; *2* 0.000.

*1*
LiSn3S | PBE | relaxed

extended XYZ file:
```
5
Lattice="-4.558 1.085 -2.667 -2.335 -4.315 2.235 -1.684 3.044 4.118" Properties=species:S:1:pos:R:3 pbc="T T T"
S 0.000 0.000 0.000
Sn -0.842 1.522 2.059
Sn -2.279 0.543 -1.333
Sn -1.167 -2.157 1.117
Li -4.288 -0.093 1.843
```

## Properties
The calculation puts the density of states at the Fermi level at 3.5 states/eV per cell. For the spin magnetization, the calculation gives 0.0000 μB per atom.

*2*
LiSn3S | PBE | relaxed

extended XYZ file:
```
5
Lattice="4.984 0.000 0.000 0.000 4.984 0.000 0.000 0.000 4.984" Properties=species:S:1:pos:R:3 pbc="T T T"
Sn 2.492 0.000 0.000
Sn 0.000 2.492 0.000
Sn 0.000 0.000 2.492
Li 0.000 0.000 0.000
S 2.492 2.492 2.492
```

## Properties
The calculation puts the density of states at the Fermi level at 2.2 states/eV per cell. For the spin magnetization, the calculation gives 0.0000 μB per atom.

What are the relative energies? In eV/atom: *1* 0.000; *2* 0.077.

*1*
Li2SnS3 | PBE | relaxed

extended XYZ file:
```
6
Lattice="-3.836 -0.740 -0.573 -0.092 -3.192 4.737 0.540 6.832 1.169" Properties=species:S:1:pos:R:3 pbc="T T T"
Sn -1.943 -1.248 1.017
S -2.438 -0.327 3.143
S -0.948 3.259 2.143
S 0.000 -0.002 0.003
Li -2.875 2.065 2.980
Li -0.556 -0.689 4.614
```

## Properties
The calculation puts the density of states at the Fermi level at 0.0 states/eV per cell. For the spin magnetization, the calculation gives 0.0000 μB per atom.

*2*
Li2SnS3 | PBE | relaxed

extended XYZ file:
```
24
Lattice="-6.395 -0.891 -0.068 3.320 0.012 -5.539 0.662 -12.451 -0.878" Properties=species:S:1:pos:R:3 pbc="T T T"
S -0.908 -4.782 -0.505
S -2.262 -11.500 -3.820
S -1.598 -8.221 -2.102
S 1.034 -10.858 -1.852
S -4.204 -5.399 -2.476
S -0.815 -5.109 -4.383
S 1.791 -7.931 -4.008
S -3.536 -2.169 -0.756
S 1.122 -11.161 -5.728
S -0.152 -1.830 -2.664
S -3.447 -2.472 -4.633
S -1.505 -8.548 -5.979
Li -2.176 -3.627 -2.570
Li -2.834 -6.968 -4.223
Li -0.237 -9.703 -3.915
Li -2.867 -6.671 -0.473
Li -1.575 -0.291 -0.886
Li 0.421 -6.362 -2.262
Li -0.838 -13.039 -5.599
Li 1.660 0.006 -2.769
Sn 1.052 -3.327 -4.388
Sn -5.420 -3.928 -0.743
Sn 3.006 -9.402 -5.741
Sn -3.466 -10.003 -2.096
```

## Properties
For the spin magnetization, the calculation gives 0.0000 μB per atom.

What are the relative energies? In eV/atom: *1* 0.000; *2* 0.012.

*1*
LiSnS3 | PBE | relaxed

extended XYZ file:
```
20
Lattice="-0.623 -1.827 6.471 2.847 -7.791 -1.544 7.778 2.673 1.884" Properties=species:S:1:pos:R:3 pbc="T T T"
Sn 2.843 -1.210 4.440
Sn 7.159 -5.735 2.371
Sn 7.971 -4.265 6.387
Sn 2.031 -2.680 0.423
S 4.634 0.102 5.473
S 6.684 -3.907 0.413
S 3.494 -8.802 4.180
S 5.368 -7.047 1.338
S 2.095 -7.760 3.014
S 6.508 1.857 2.631
S 3.189 -3.060 2.856
S 2.054 -5.121 0.227
S 7.907 0.815 3.797
S 6.814 -3.885 3.955
S 7.948 -1.824 6.584
S 3.318 -3.038 6.398
Li 6.794 0.207 6.378
Li 3.208 -7.152 0.432
Li 5.410 -2.480 1.963
Li 4.593 -4.466 4.847
```

## Properties
For the spin magnetization, the calculation gives 0.0000 μB per atom.

*2*
LiSnS3 | PBE | relaxed

extended XYZ file:
```
5
Lattice="5.023 0.000 0.000 0.000 5.023 0.000 0.000 0.000 5.023" Properties=species:S:1:pos:R:3 pbc="T T T"
Li 2.511 2.511 2.511
Sn 0.000 0.000 0.000
S 0.000 0.000 2.511
S 2.511 0.000 0.000
S 0.000 2.511 0.000
```

## Properties
The calculation puts the density of states at the Fermi level at 3.7 states/eV per cell. For the spin magnetization, the calculation gives 0.0000 μB per atom.

What are the relative energies? In eV/atom: *1* 0.000; *2* 0.522.

*1*
LiSn2S3 | PBE | relaxed

extended XYZ file:
```
6
Lattice="-3.798 0.912 0.473 -0.556 -3.345 1.996 4.040 5.222 5.991" Properties=species:S:1:pos:R:3 pbc="T T T"
S -1.776 -0.380 2.735
S -0.539 2.288 7.545
S 1.014 2.161 3.895
Sn -1.109 1.054 5.323
Sn 0.351 0.729 1.307
Li 1.640 3.502 6.313
```

## Properties
The calculation puts the density of states at the Fermi level at 1.8 states/eV per cell. For the spin magnetization, the calculation gives 0.0000 μB per atom.

*2*
LiSn2S3 | PBE | relaxed

extended XYZ file:
```
6
Lattice="5.493 0.000 0.000 0.000 3.971 0.000 -2.746 -1.985 5.961" Properties=species:S:1:pos:R:3 pbc="T T T"
S 0.000 0.489 3.986
S 0.000 0.490 0.000
S 2.746 2.475 1.976
Sn 0.000 2.477 1.963
Sn 2.746 0.492 3.998
Li 2.746 0.498 0.000
```

## Properties
The calculation puts the density of states at the Fermi level at 1.8 states/eV per cell. For the spin magnetization, the calculation gives 0.0000 μB per atom.

What are the relative energies? In eV/atom: *1* 0.025; *2* 0.000.

*1*
SrLiS3 | PBE | relaxed

extended XYZ file:
```
5
Lattice="4.635 0.000 0.000 0.000 4.635 0.000 0.000 0.000 4.635" Properties=species:S:1:pos:R:3 pbc="T T T"
S 0.000 0.000 2.317
S 0.000 2.317 0.000
S 2.317 0.000 0.000
Li 0.000 0.000 0.000
Sr 2.317 2.317 2.317
```

## Properties
The calculation puts the density of states at the Fermi level at 5.7 states/eV per cell. For the spin magnetization, the calculation gives 0.0002 μB per atom.

*2*
SrLiS3 | PBE | relaxed

extended XYZ file:
```
5
Lattice="5.626 0.000 0.000 0.000 5.626 0.000 0.000 0.000 5.626" Properties=species:S:1:pos:R:3 pbc="T T T"
S 2.813 0.000 0.000
S 0.000 0.000 2.813
S 0.000 2.813 0.000
Li 2.813 2.813 2.813
Sr 0.000 0.000 0.000
```

## Properties
The calculation puts the density of states at the Fermi level at 2.1 states/eV per cell. For the spin magnetization, the calculation gives 0.6000 μB per atom.

What are the relative energies? In eV/atom: *1* 0.000; *2* 0.552.

*1*
Li3TaS | PBE | relaxed

extended XYZ file:
```
5
Lattice="-2.535 -1.319 4.246 -3.353 -2.643 -2.823 2.920 -4.180 0.445" Properties=species:S:1:pos:R:3 pbc="T T T"
Li -1.268 -0.660 2.123
Li -1.676 -1.322 -1.412
Li 1.460 -2.090 0.223
Ta 0.000 0.000 0.000
S -1.484 -4.071 0.934
```

## Properties
The calculation puts the density of states at the Fermi level at 5.2 states/eV per cell. For the spin magnetization, the calculation gives 0.8000 μB per atom.

*2*
Li3TaS | PBE | relaxed

extended XYZ file:
```
5
Lattice="-0.488 -3.609 2.792 1.962 -2.701 -3.149 4.120 0.859 1.830" Properties=species:S:1:pos:R:3 pbc="T T T"
S 0.000 0.000 0.000
Li 0.981 -1.351 -1.574
Li 2.060 0.429 0.915
Li -0.244 -1.805 1.396
Ta 2.797 -2.726 0.737
```

## Properties
The calculation puts the density of states at the Fermi level at 5.4 states/eV per cell. For the spin magnetization, the calculation gives 0.8003 μB per atom.

What are the relative energies? In eV/atom: *1* 0.961; *2* 0.000.

*1*
LiTb3S4 | PBE | relaxed

extended XYZ file:
```
8
Lattice="3.899 0.000 0.000 0.000 6.753 -0.061 0.000 -2.186 6.389" Properties=species:S:1:pos:R:3 pbc="T T T"
S 1.949 4.559 1.522
S 0.000 1.117 1.548
S 0.000 3.450 4.781
S 1.949 0.007 4.806
Tb 0.000 -1.093 3.195
Tb 1.949 2.283 3.164
Tb 0.000 3.376 -0.030
Li 1.949 0.000 0.000
```

## Properties
The calculation puts the density of states at the Fermi level at 2.5 states/eV per cell. For the spin magnetization, the calculation gives 0.0000 μB per atom.

*2*
LiTb3S4 | PBE | relaxed

extended XYZ file:
```
8
Lattice="5.516 0.000 0.000 0.000 5.516 0.000 0.000 0.000 5.516" Properties=species:S:1:pos:R:3 pbc="T T T"
Li 0.000 0.000 0.000
Tb 2.758 0.000 2.758
Tb 0.000 2.758 2.758
Tb 2.758 2.758 0.000
S 2.758 2.758 2.758
S 0.000 0.000 2.758
S 0.000 2.758 0.000
S 2.758 0.000 0.000
```

## Properties
The calculation puts the density of states at the Fermi level at 2.7 states/eV per cell. For the spin magnetization, the calculation gives 0.0000 μB per atom.

What are the relative energies? In eV/atom: *1* 0.024; *2* 0.000.

*1*
LiTc3S | PBE | relaxed

extended XYZ file:
```
5
Lattice="-2.722 -0.909 -3.282 -1.765 -3.217 2.355 -2.912 2.799 1.640" Properties=species:S:1:pos:R:3 pbc="T T T"
Li -3.700 -0.663 0.357
Tc -1.361 -0.454 -1.641
Tc -0.882 -1.608 1.177
Tc -1.456 1.399 0.820
S 0.000 0.000 0.000
```

## Properties
The calculation puts the density of states at the Fermi level at 3.5 states/eV per cell. For the spin magnetization, the calculation gives 0.2160 μB per atom.

*2*
LiTc3S | PBE | relaxed

extended XYZ file:
```
5
Lattice="4.161 0.000 0.000 0.000 4.161 0.000 0.000 0.000 4.161" Properties=species:S:1:pos:R:3 pbc="T T T"
Tc 0.000 2.081 0.000
Tc 0.000 0.000 2.081
Tc 2.081 0.000 0.000
Li 0.000 0.000 0.000
S 2.081 2.081 2.081
```

## Properties
The calculation puts the density of states at the Fermi level at 5.9 states/eV per cell. For the spin magnetization, the calculation gives 0.0000 μB per atom.

What are the relative energies? In eV/atom: *1* 0.000; *2* 1.041.

*1*
LiTi2TcS | PBE | relaxed

extended XYZ file:
```
5
Lattice="-4.141 -0.777 1.156 -0.204 -2.986 -2.736 1.375 -2.852 3.010" Properties=species:S:1:pos:R:3 pbc="T T T"
Tc -0.102 -1.493 -1.368
S -1.485 -3.307 0.715
Ti -2.070 -0.388 0.578
Ti 0.687 -1.426 1.505
Li 0.000 0.000 0.000
```

## Properties
The calculation puts the density of states at the Fermi level at 4.8 states/eV per cell. For the spin magnetization, the calculation gives 0.0000 μB per atom.

*2*
LiTi2TcS | PBE | relaxed

extended XYZ file:
```
5
Lattice="-1.579 -4.388 0.521 4.283 -1.378 1.374 -1.129 0.935 4.457" Properties=species:S:1:pos:R:3 pbc="T T T"
S 2.142 -0.689 0.687
Ti -0.789 -2.194 0.260
Ti -0.564 0.468 2.229
Li 0.788 -2.415 3.176
Tc 0.000 0.000 0.000
```

## Properties
The calculation puts the density of states at the Fermi level at 5.0 states/eV per cell. For the spin magnetization, the calculation gives 0.1424 μB per atom.

What are the relative energies? In eV/atom: *1* 0.460; *2* 0.000.

*1*
LiTe3S | PBE | relaxed

extended XYZ file:
```
5
Lattice="4.992 0.000 0.000 0.000 4.992 0.000 0.000 0.000 4.992" Properties=species:S:1:pos:R:3 pbc="T T T"
Te 0.000 0.000 2.496
Te 0.000 2.496 0.000
Te 2.496 0.000 0.000
Li 0.000 0.000 0.000
S 2.496 2.496 2.496
```

## Properties
The calculation puts the density of states at the Fermi level at 5.5 states/eV per cell. For the spin magnetization, the calculation gives 0.0000 μB per atom.

*2*
LiTe3S | PBE | relaxed

extended XYZ file:
```
5
Lattice="5.306 0.000 0.000 0.000 5.306 0.000 0.000 0.000 5.306" Properties=species:S:1:pos:R:3 pbc="T T T"
Li 2.653 2.653 2.653
S 0.000 0.000 0.000
Te 0.000 2.653 0.000
Te 0.000 0.000 2.653
Te 2.653 0.000 0.000
```

## Properties
The calculation puts the density of states at the Fermi level at 3.1 states/eV per cell. For the spin magnetization, the calculation gives 0.0000 μB per atom.

What are the relative energies? In eV/atom: *1* 0.334; *2* 0.000.